The following is a PBEsol calculation of an optimized crystal structure of LiNi6P7O24, from Alexandria.

abc: 5.229 26.160 6.292
angles: 90.00 107.13 90.00
Fractional positions:
Li: 0.093 0.250 0.463
Li: 0.907 0.750 0.537
Ni: 0.146 0.682 0.262
Ni: 0.146 0.818 0.262
Ni: 0.179 0.097 0.097
Ni: 0.179 0.403 0.097
Ni: 0.226 0.553 0.691
Ni: 0.226 0.947 0.691
Ni: 0.774 0.053 0.309
Ni: 0.774 0.447 0.309
Ni: 0.821 0.597 0.903
Ni: 0.821 0.903 0.903
Ni: 0.854 0.182 0.738
Ni: 0.854 0.318 0.738
P: 0.269 0.667 0.797
P: 0.269 0.833 0.797
P: 0.293 0.108 0.631
P: 0.293 0.392 0.631
P: 0.306 0.525 0.203
P: 0.306 0.975 0.203
P: 0.442 0.250 0.906
P: 0.558 0.750 0.094
P: 0.694 0.025 0.797
P: 0.694 0.475 0.797
P: 0.707 0.608 0.369
P: 0.707 0.892 0.369
P: 0.731 0.167 0.203
P: 0.731 0.333 0.203
O: 0.073 0.665 0.937
O: 0.073 0.835 0.937
O: 0.116 0.095 0.395
O: 0.116 0.405 0.395
O: 0.118 0.123 0.781
O: 0.118 0.377 0.781
O: 0.139 0.549 0.982
O: 0.139 0.951 0.982
O: 0.140 0.694 0.576
O: 0.140 0.806 0.576
O: 0.148 0.250 0.777
O: 0.176 0.530 0.387
O: 0.176 0.970 0.387
O: 0.358 0.750 0.228
O: 0.397 0.029 0.167
O: 0.397 0.471 0.167
O: 0.414 0.055 0.731
O: 0.414 0.445 0.731
O: 0.423 0.618 0.784
O: 0.423 0.882 0.784
O: 0.484 0.203 0.068
O: 0.484 0.297 0.068
O: 0.495 0.647 0.367
O: 0.495 0.853 0.367
O: 0.505 0.147 0.633
O: 0.505 0.353 0.633
O: 0.516 0.703 0.932
O: 0.516 0.797 0.932
O: 0.577 0.118 0.216
O: 0.577 0.382 0.216
O: 0.586 0.555 0.269
O: 0.586 0.945 0.269
O: 0.603 0.529 0.833
O: 0.603 0.971 0.833
O: 0.642 0.250 0.772
O: 0.824 0.030 0.613
O: 0.824 0.470 0.613
O: 0.852 0.750 0.223
O: 0.860 0.194 0.424
O: 0.860 0.306 0.424
O: 0.861 0.049 0.018
O: 0.861 0.451 0.018
O: 0.882 0.623 0.219
O: 0.882 0.877 0.219
O: 0.884 0.595 0.605
O: 0.884 0.905 0.605
O: 0.927 0.165 0.063
O: 0.927 0.335 0.063

Output
Volume = 823 Å³/cell
Calculated total energy = -7.100 eV/atom
ΔE_f (raw) = -64.37 eV/f.u.

=====

The following is a PBEsol calculation of an optimized crystal structure of Cr3AgAs, from Alexandria.

abc: 4.554 4.554 4.554
angles: 90.00 90.00 90.00
Fractional positions:
Cr: 0.000 0.000 0.500
Cr: 0.000 0.500 0.000
Cr: 0.500 0.000 0.000
Ag: 0.500 0.500 0.500
As: 0.000 0.000 0.000

Output
DOS at the Fermi energy = 6.82 states/eV per cell
Volume = 94 Å³/cell
Calculated total energy = -6.767 eV/atom
Formation enthalpy at 0 K = 512 kJ/mol of formula units

=====

The following is a PBEsol calculation of an optimized crystal structure of SrY2Cu, from Alexandria.

abc: 3.874 4.545 6.790
angles: 90.00 105.31 90.00
Fractional positions:
Sr: 0.000 0.000 0.000
Y: 0.366 0.500 0.702
Y: 0.634 0.500 0.298
Cu: 0.000 0.000 0.500

Output
DOS at the Fermi energy = 3.94 states/eV per cell
Volume = 115 Å³/cell
Calculated total energy = -4.729 eV/atom
Formation enthalpy at 0 K = 87 kJ/mol of formula units

=====

The following is a PBEsol calculation of an optimized crystal structure of CoOsRh2, from Alexandria.

abc: 2.650 2.650 25.497
angles: 90.00 90.00 120.00
Fractional positions:
Co: 0.000 0.000 0.000
Co: 0.333 0.667 0.667
Co: 0.667 0.333 0.333
Os: 0.000 0.000 0.254
Os: 0.333 0.667 0.920
Os: 0.667 0.333 0.587
Rh: 0.000 0.000 0.501
Rh: 0.000 0.000 0.747
Rh: 0.333 0.667 0.168
Rh: 0.333 0.667 0.413
Rh: 0.667 0.333 0.080
Rh: 0.667 0.333 0.835

Output
DOS at the Fermi energy = 14.43 states/eV per cell
Volume = 155 Å³/cell
Calculated total energy = -8.972 eV/atom
Formation enthalpy at 0 K = 33 kJ/mol of formula units

=====

The following is a PBEsol calculation of an optimized crystal structure of MnSbPb2, from Alexandria.

abc: 3.353 4.239 14.419
angles: 90.00 90.00 90.00
Fractional positions:
Mn: 0.000 0.000 0.000
Mn: 0.500 0.500 0.500
Sb: 0.000 0.000 0.500
Sb: 0.500 0.500 0.000
Pb: 0.000 0.500 0.323
Pb: 0.000 0.500 0.677
Pb: 0.500 0.000 0.177
Pb: 0.500 0.000 0.823

Output
DOS at the Fermi energy = 4.61 states/eV per cell
Volume = 205 Å³/cell
Calculated total energy = -5.346 eV/atom
ΔE_f (raw) = 0.93 eV/f.u.

=====

The following is a PBEsol calculation of an optimized crystal structure of SrSc2W, from Alexandria.

abc: 4.482 4.482 9.003
angles: 90.00 90.00 90.00
Fractional positions:
Sr: 0.000 0.000 0.000
Sr: 0.500 0.500 0.500
Sc: 0.000 0.000 0.500
Sc: 0.000 0.500 0.750
Sc: 0.500 0.000 0.250
Sc: 0.500 0.500 0.000
W: 0.000 0.500 0.250
W: 0.500 0.000 0.750

Output
DOS at the Fermi energy = 5.91 states/eV per cell
Volume = 181 Å³/cell
Calculated total energy = -6.431 eV/atom
Formation enthalpy at 0 K = 302 kJ/mol of formula units

=====

The following is a PBEsol calculation of an optimized crystal structure of BaLiIr2, from Alexandria.

abc: 4.329 4.329 16.440
angles: 90.00 90.00 120.00
Fractional positions:
Ba: 0.000 0.000 0.000
Ba: 0.333 0.667 0.667
Ba: 0.667 0.333 0.333
Li: 0.000 0.000 0.811
Li: 0.333 0.667 0.478
Li: 0.667 0.333 0.145
Ir: 0.000 0.000 0.196
Ir: 0.000 0.000 0.526
Ir: 0.333 0.667 0.193
Ir: 0.333 0.667 0.862
Ir: 0.667 0.333 0.529
Ir: 0.667 0.333 0.859

Output
DOS at the Fermi energy = 10.50 states/eV per cell
Volume = 267 Å³/cell
Calculated total energy = -6.048 eV/atom
Formation enthalpy at 0 K = -41 kJ/mol of formula units

=====

The following is a PBEsol calculation of an optimized crystal structure of LiCdIn, from Alexandria.

abc: 4.838 4.838 3.137
angles: 90.00 90.00 120.00
Fractional positions:
Li: 0.000 0.000 0.000
Cd: 0.333 0.667 0.504
In: 0.667 0.333 0.496

Output
DOS at the Fermi energy = 0.88 states/eV per cell
Volume = 64 Å³/cell
Calculated total energy = -2.246 eV/atom
Formation enthalpy at 0 K = -57 kJ/mol of formula units

=====

The following is a PBEsol calculation of an optimized crystal structure of SmAsS, from Alexandria.

abc: 3.835 3.835 8.563
angles: 90.00 90.00 90.00
Fractional positions:
Sm: 0.250 0.250 0.210
Sm: 0.750 0.750 0.790
As: 0.250 0.750 0.500
As: 0.750 0.250 0.500
S: 0.250 0.250 0.874
S: 0.750 0.750 0.126

Output
DOS at the Fermi energy = 0.70 states/eV per cell
Volume = 126 Å³/cell
Calculated total energy = -6.491 eV/atom
ΔE_f (raw) = -4.89 eV/f.u.

=====

The following is a PBEsol calculation of an optimized crystal structure of LiMg2S, from Alexandria.

abc: 8.597 8.597 4.773
angles: 90.00 90.00 90.00
Fractional positions:
Li: 0.000 0.000 0.000
Li: 0.000 0.500 0.250
Li: 0.500 0.000 0.750
Li: 0.500 0.500 0.500
Mg: 0.148 0.750 0.625
Mg: 0.250 0.148 0.375
Mg: 0.250 0.352 0.875
Mg: 0.352 0.750 0.125
Mg: 0.648 0.250 0.125
Mg: 0.750 0.648 0.875
Mg: 0.750 0.852 0.375
Mg: 0.852 0.250 0.625
S: 0.000 0.000 0.500
S: 0.000 0.500 0.750
S: 0.500 0.000 0.250
S: 0.500 0.500 0.000

Output
DOS at the Fermi energy = 5.14 states/eV per cell
Volume = 353 Å³/cell
Calculated total energy = -2.942 eV/atom
ΔE_f (raw) = -1.98 eV/f.u.

=====

The following is a PBEsol calculation of an optimized crystal structure of Bi, from Alexandria.

abc: 3.220 3.220 3.220
angles: 90.00 90.00 90.00
Fractional positions:
Bi: 0.000 0.000 0.000

Output
DOS at the Fermi energy = 0.54 states/eV per cell
Volume = 33 Å³/cell
Calculated total energy = -4.261 eV/atom
Formation enthalpy at 0 K = 2 kJ/mol of formula units

=====

The following is a PBEsol calculation of an optimized crystal structure of RbLaGaIr2, from Alexandria.

abc: 4.715 4.715 5.385
angles: 90.00 90.00 90.00
Fractional positions:
Rb: 0.000 0.000 0.000
La: 0.500 0.500 0.000
Ga: 0.500 0.500 0.500
Ir: 0.000 0.500 0.500
Ir: 0.500 0.000 0.500

Output
DOS at the Fermi energy = 2.48 states/eV per cell
Volume = 120 Å³/cell
Calculated total energy = -5.194 eV/atom
Formation enthalpy at 0 K = 327 kJ/mol of formula units

=====

The following is a PBEsol calculation of an optimized crystal structure of NiSbMo3, from Alexandria.

abc: 4.460 4.460 4.460
angles: 90.00 90.00 90.00
Fractional positions:
Ni: 0.000 0.000 0.000
Sb: 0.500 0.500 0.500
Mo: 0.000 0.000 0.500
Mo: 0.000 0.500 0.000
Mo: 0.500 0.000 0.000

Output
DOS at the Fermi energy = 7.54 states/eV per cell
Volume = 89 Å³/cell
Calculated total energy = -8.022 eV/atom
ΔE_f (raw) = 5.91 eV/f.u.

=====

The following is a PBEsol calculation of an optimized crystal structure of K2TcBr, from Alexandria.

abc: 3.504 3.504 9.278
angles: 90.00 90.00 90.00
Fractional positions:
K: 0.000 0.000 0.221
K: 0.000 0.000 0.779
Tc: 0.500 0.500 0.500
Br: 0.500 0.500 0.000

Output
DOS at the Fermi energy = 3.73 states/eV per cell
Volume = 114 Å³/cell
Calculated total energy = -3.392 eV/atom
ΔE_f (raw) = 1.84 eV/f.u.

=====

The following is a PBEsol calculation of an optimized crystal structure of BaLiMg2, from Alexandria.

abc: 5.182 5.182 9.057
angles: 90.00 90.00 90.00
Fractional positions:
Ba: 0.000 0.000 0.000
Ba: 0.500 0.500 0.500
Li: 0.000 0.000 0.500
Li: 0.500 0.500 0.000
Mg: 0.000 0.500 0.250
Mg: 0.000 0.500 0.750
Mg: 0.500 0.000 0.250
Mg: 0.500 0.000 0.750

Output
DOS at the Fermi energy = 6.12 states/eV per cell
Volume = 243 Å³/cell
Calculated total energy = -1.843 eV/atom
Formation enthalpy at 0 K = 17 kJ/mol of formula units

=====

The following is a PBEsol calculation of an optimized crystal structure of GaPN2, from Alexandria.

abc: 4.261 4.261 10.081
angles: 90.00 90.00 90.00
Fractional positions:
Ga: 0.000 0.000 0.000
Ga: 0.000 0.500 0.250
Ga: 0.500 0.000 0.750
Ga: 0.500 0.500 0.500
P: 0.000 0.000 0.500
P: 0.000 0.500 0.750
P: 0.500 0.000 0.250
P: 0.500 0.500 0.000
N: 0.232 0.250 0.625
N: 0.250 0.732 0.875
N: 0.250 0.768 0.375
N: 0.268 0.250 0.125
N: 0.732 0.750 0.125
N: 0.750 0.232 0.375
N: 0.750 0.268 0.875
N: 0.768 0.750 0.625

Output
DOS at the Fermi energy = 6.33 states/eV per cell
Volume = 183 Å³/cell
Calculated total energy = -6.231 eV/atom
ΔE_f (raw) = 1.26 eV/f.u.

=====

The following is a PBEsol calculation of an optimized crystal structure of KRb2AlF6, from Alexandria.

abc: 6.114 6.114 6.114
angles: 120.10 120.10 89.84
Fractional positions:
K: 0.000 0.000 0.000
Rb: 0.250 0.750 0.500
Rb: 0.750 0.250 0.500
Al: 0.500 0.500 0.000
F: 0.272 0.693 0.965
F: 0.289 0.289 0.000
F: 0.307 0.272 0.579
F: 0.693 0.728 0.421
F: 0.711 0.711 0.000
F: 0.728 0.307 0.035

Output
DOS at the Fermi energy = 0.00 states/eV per cell
Volume = 161 Å³/cell
Calculated total energy = -5.084 eV/atom
ΔE_f (raw) = -32.00 eV/f.u.

=====

The following is a PBEsol calculation of an optimized crystal structure of NaBiSeBr2, from Alexandria.

abc: 5.002 5.002 5.406
angles: 90.00 90.00 90.00
Fractional positions:
Na: 0.000 0.000 0.000
Bi: 0.500 0.500 0.500
Se: 0.000 0.000 0.500
Br: 0.000 0.500 0.000
Br: 0.500 0.000 0.000

Output
DOS at the Fermi energy = 3.97 states/eV per cell
Volume = 135 Å³/cell
Calculated total energy = -2.749 eV/atom
ΔE_f (raw) = -0.47 eV/f.u.

=====

The following is a PBEsol calculation of an optimized crystal structure of LaHfAg2, from Alexandria.

abc: 7.112 7.112 7.112
angles: 90.00 90.00 90.00
Fractional positions:
La: 0.000 0.000 0.000
La: 0.000 0.500 0.500
La: 0.500 0.000 0.500
La: 0.500 0.500 0.000
Hf: 0.000 0.000 0.500
Hf: 0.000 0.500 0.000
Hf: 0.500 0.000 0.000
Hf: 0.500 0.500 0.500
Ag: 0.250 0.250 0.250
Ag: 0.250 0.250 0.750
Ag: 0.250 0.750 0.250
Ag: 0.250 0.750 0.750
Ag: 0.750 0.250 0.250
Ag: 0.750 0.250 0.750
Ag: 0.750 0.750 0.250
Ag: 0.750 0.750 0.750

Output
DOS at the Fermi energy = 19.48 states/eV per cell
Volume = 360 Å³/cell
Calculated total energy = -5.547 eV/atom
Formation enthalpy at 0 K = 28 kJ/mol of formula units

=====

The following is a PBEsol calculation of an optimized crystal structure of RbMgGa3, from Alexandria.

abc: 5.696 5.696 5.696
angles: 90.00 90.00 90.00
Fractional positions:
Rb: 0.000 0.000 0.000
Mg: 0.500 0.500 0.500
Ga: 0.000 0.000 0.500
Ga: 0.000 0.500 0.000
Ga: 0.500 0.000 0.000

Output
DOS at the Fermi energy = 5.48 states/eV per cell
Volume = 185 Å³/cell
Calculated total energy = -1.335 eV/atom
Formation enthalpy at 0 K = 587 kJ/mol of formula units